No. 1
Computed, not measured: crystalline Ca2PPt2 at its relaxed geometry at the GGA-PBEsol level of DFT.

abc: 5.438 5.438 7.780
angles: 79.46 79.46 60.58
Atoms (fractional coordinates):
Ca: 0.226 0.468 0.159
Ca: 0.774 0.532 0.841
P: 0.872 0.128 0.250
Pt: 0.003 0.247 0.508
Pt: 0.247 0.003 0.008
Pt: 0.997 0.753 0.492
Ca: 0.468 0.226 0.659
Ca: 0.532 0.774 0.341
Pt: 0.753 0.997 0.992
P: 0.128 0.872 0.750

## Properties
* space-group type: C2/c, No. 15
* mass density: 8.50 Mg/m³
* offset from the most stable computed form: 0.000 eV per atom
* V: 19.6 A^3/atom
* calculated formation energy: -0.9750 eV per atom
* VASP energy: -5.772 eV/atom

=====

No. 2
Computed, not measured: crystalline CaFeIr2 at its relaxed geometry at the GGA-PBEsol level of DFT.

abc: 3.119 4.452 4.452
angles: 90.00 90.00 90.00
Atoms (fractional coordinates):
Fe: 0.500 0.000 0.000
Ca: 0.500 0.500 0.500
Ir: 0.000 0.500 0.000
Ir: 0.000 0.000 0.500

## Properties
* space-group type: P4/mmm, No. 123
* mass density: 12.90 Mg/m³
* offset from the most stable computed form: 0.062 eV per atom
* V: 15.5 A^3/atom
* calculated formation energy: 0.2621 eV per atom
* VASP energy: -7.424 eV/atom

=====

No. 3
Computed, not measured: crystalline BeCd2Ni at its relaxed geometry at the GGA-PBEsol level of DFT.

abc: 2.963 4.663 4.662
angles: 105.05 90.00 108.53
Atoms (fractional coordinates):
Cd: 0.256 0.512 0.253
Cd: 0.744 0.488 0.747
Ni: 0.500 0.000 0.000
Be: 0.000 0.000 0.500

## Properties
* space-group type: C2/m, No. 12
* mass density: 8.27 Mg/m³
* V: 14.7 A^3/atom
* calculated formation energy: 0.2783 eV per atom
* VASP energy: -2.860 eV/atom

=====

No. 4
Computed, not measured: crystalline AlPSe2Br at its relaxed geometry at the GGA-PBEsol level of DFT.

abc: 4.813 4.813 5.044
angles: 90.00 90.00 90.00
Atoms (fractional coordinates):
Al: 0.500 0.500 0.500
Br: 0.000 0.000 0.500
Se: 0.500 0.000 0.000
P: 0.000 0.000 0.000
Se: 0.000 0.500 0.000

## Properties
* space-group type: P4/mmm, No. 123
* mass density: 4.20 Mg/m³
* energy relative to the elements, uncorrected: 1.25 eV per formula unit
* offset from the most stable computed form: 0.000 eV per atom
* V: 23.4 A^3/atom
* VASP energy: -3.641 eV/atom

=====

No. 5
Computed, not measured: crystalline AlZnIn2 at its relaxed geometry at the GGA-PBEsol level of DFT.

abc: 3.145 5.167 5.167
angles: 103.41 91.91 91.91
Atoms (fractional coordinates):
Al: 0.500 0.500 0.500
In: 0.000 0.500 0.000
Zn: 0.500 0.000 0.000
In: 0.000 0.000 0.500

## Properties
* space-group type: C2/m, No. 12
* mass density: 6.56 Mg/m³
* V: 20.4 A^3/atom
* calculated formation energy: 0.1456 eV per atom
* VASP energy: -2.764 eV/atom

=====

No. 6
Computed, not measured: crystalline ScB3Ir at its relaxed geometry at the GGA-PBEsol level of DFT.

abc: 3.909 3.909 3.909
angles: 90.00 90.00 90.00
Atoms (fractional coordinates):
B: 0.500 0.000 0.000
Sc: 0.000 0.000 0.000
B: 0.000 0.500 0.000
Ir: 0.500 0.500 0.500
B: 0.000 0.000 0.500

## Properties
* space-group type: Pm-3m, No. 221
* mass density: 7.50 Mg/m³
* V: 11.9 A^3/atom
* calculated formation energy: 2.2770 eV per atom
* VASP energy: -5.218 eV/atom

=====

> The lowest V belongs to which entry?

ScB3Ir